1.
{
  "formula": "SmHo2AgN",
  "functional": "PBE",
  "state": "relaxed",
  "dft_energy_ev_per_atom": -5.73,
  "raw_formation_energy_ev_per_atom": -0.7194,
  "sg": "P4/mmm, No. 123",
  "cell": [[4.740, 0.000, 0.000], [0.000, 4.740, 0.000], [0.000, 0.000, 4.987]],
  "species": ["Sm", "Ag", "N", "Ho", "Ho"],
  "frac_coords": [[0.000, 0.000, 0.500], [0.500, 0.500, 0.500], [0.000, 0.000, 0.000], [0.000, 0.500, 0.000], [0.500, 0.000, 0.000]]
}



2.
{
  "formula": "TbHo2AgN",
  "functional": "PBE",
  "state": "relaxed",
  "dft_energy_ev_per_atom": -5.74,
  "raw_formation_energy_ev_per_atom": -0.7463,
  "sg": "P4/mmm, No. 123",
  "cell": [[-2.461, 0.591, 4.016], [3.569, -1.924, 2.470], [1.980, 4.399, 0.566]],
  "species": ["Ho", "Ho", "N", "Ag", "Tb"],
  "frac_coords": [[0.000, 0.500, 0.000], [0.500, 0.000, 0.000], [0.000, 0.000, 0.000], [0.500, 0.500, 0.500], [0.000, 0.000, 0.500]]
}



So what do the calculations give for total moment? Going down the list: 0.000, 0.000 μB/atom.